Cr2NiGeW, optimized geometry, DFT PBE; density of states at the Fermi level = 6.13 states/eV/f.u.; calculated total energy = -6.961 eV/atom; E_form = 1.559 eV per atom
1.0
4.651 0.000 0.000
0.000 4.823 0.000
0.000 0.000 4.651
Ni Ge W Cr
1 1 1 2
Cartesian
2.325 2.412 2.325 Ni
0.000 2.412 0.000 Ge
0.000 0.000 0.000 W
0.000 0.000 2.325 Cr
2.325 0.000 0.000 Cr